{"formula": "YIrPbSe2", "functional": "PBE", "state": "relaxed", "final_energy_ev_per_atom": -5.00, "crystal_system": "tetragonal", "cell": [[5.4323, 0.0000, 0.0000], [0.0000, 5.4323, 0.0000], [0.0000, 0.0000, 5.2055]], "species": ["Y", "Ir", "Pb", "Se", "Se"], "fractional_positions": [[0.0000, 0.0000, 0.0000], [0.0000, 0.0000, 0.5000], [0.5000, 0.5000, 0.5000], [0.0000, 0.5000, 0.0000], [0.5000, 0.0000, 0.0000]]}


{"formula": "Y6Ir2PbSe3", "functional": "PBE", "state": "relaxed", "final_energy_ev_per_atom": -7.09, "crystal_system": "monoclinic", "cell": [[9.5128, -2.0212, 0.0000], [9.5128, 2.0212, 0.0000], [-3.2930, 0.0000, 7.9417]], "species": ["Y", "Y", "Y", "Y", "Y", "Y", "Ir", "Ir", "Pb", "Se", "Se", "Se"], "fractional_positions": [[0.0033, 0.0033, 0.2310], [0.3177, 0.3177, 0.9558], [0.3242, 0.3242, 0.4112], [0.6758, 0.6758, 0.5888], [0.6823, 0.6823, 0.0442], [0.9967, 0.9967, 0.7690], [0.1528, 0.1528, 0.7928], [0.8472, 0.8472, 0.2072], [0.5000, 0.5000, 0.5000], [0.1650, 0.1650, 0.3161], [0.5000, 0.5000, 0.0000], [0.8350, 0.8350, 0.6839]]}


{"formula": "SiIr4Pb", "functional": "PBE", "state": "relaxed", "final_energy_ev_per_atom": -6.88, "crystal_system": "cubic", "cell": [[0.0000, 3.7512, 3.7512], [3.7512, 0.0000, 3.7512], [3.7512, 3.7512, 0.0000]], "species": ["Si", "Ir", "Ir", "Ir", "Ir", "Pb"], "fractional_positions": [[0.0000, 0.0000, 0.0000], [0.1239, 0.6254, 0.6254], [0.6254, 0.1239, 0.6254], [0.6254, 0.6254, 0.1239], [0.6254, 0.6254, 0.6254], [0.2500, 0.2500, 0.2500]]}


{"formula": "Si2IrPb", "functional": "PBE", "state": "relaxed", "final_energy_ev_per_atom": -5.28, "crystal_system": "monoclinic", "cell": [[4.1426, 0.0000, 0.0000], [0.0000, 3.5068, 0.0000], [-1.8438, 0.0000, 5.0599]], "species": ["Si", "Si", "Ir", "Pb"], "fractional_positions": [[0.0000, 0.0000, 0.0000], [0.5000, 0.5000, 0.5000], [0.0000, 0.0000, 0.5000], [0.5000, 0.5000, 0.0000]]}


{"formula": "Si2IrPb", "functional": "PBE", "state": "relaxed", "final_energy_ev_per_atom": -5.91, "crystal_system": "monoclinic", "cell": [[3.7423, -1.8507, 0.0000], [3.7423, 1.8507, 0.0000], [-1.4624, 0.0000, 5.8216]], "species": ["Si", "Si", "Ir", "Pb"], "fractional_positions": [[0.2160, 0.2160, 0.1331], [0.7840, 0.7840, 0.8669], [0.5000, 0.5000, 0.0000], [0.0000, 0.0000, 0.5000]]}


{"formula": "Si2IrPb", "functional": "PBE", "state": "relaxed", "final_energy_ev_per_atom": -5.19, "crystal_system": "tetragonal", "cell": [[3.9274, 0.0000, 0.0000], [0.0000, 3.9274, 0.0000], [0.0000, 0.0000, 4.7471]], "species": ["Si", "Si", "Ir", "Pb"], "fractional_positions": [[0.0000, 0.5000, 0.0000], [0.5000, 0.0000, 0.0000], [0.0000, 0.0000, 0.5000], [0.5000, 0.5000, 0.5000]]}


{"formula": "Si2IrPb", "functional": "PBE", "state": "relaxed", "final_energy_ev_per_atom": -5.30, "crystal_system": "orthorhombic", "cell": [[0.0000, 3.2023, 4.2666], [2.7553, 0.0000, 4.2666], [2.7553, 3.2023, 0.0000]], "species": ["Si", "Si", "Ir", "Pb"], "fractional_positions": [[0.0000, 0.5000, 0.5000], [0.5000, 0.0000, 0.0000], [0.0000, 0.0000, 0.0000], [0.5000, 0.5000, 0.5000]]}


{"formula": "Si2IrPb", "functional": "PBE", "state": "relaxed", "final_energy_ev_per_atom": -5.70, "crystal_system": "tetragonal", "cell": [[-2.9079, 2.9079, 5.8638], [2.9079, -2.9079, 5.8638], [2.9079, 2.9079, -5.8638]], "species": ["Si", "Si", "Si", "Si", "Ir", "Ir", "Pb", "Pb"], "fractional_positions": [[0.0461, 0.6250, 0.9211], [0.3750, 0.2961, 0.4211], [0.7039, 0.1250, 0.0789], [0.8750, 0.9539, 0.5789], [0.0000, 0.0000, 0.0000], [0.7500, 0.2500, 0.5000], [0.2500, 0.7500, 0.5000], [0.5000, 0.5000, 0.0000]]}


{"formula": "Si2IrPb", "functional": "PBE", "state": "relaxed", "final_energy_ev_per_atom": -5.18, "crystal_system": "orthorhombic", "cell": [[3.0880, 0.0000, 0.0000], [0.0000, 4.5839, 0.0000], [0.0000, 0.0000, 5.1718]], "species": ["Si", "Si", "Ir", "Pb"], "fractional_positions": [[0.0000, 0.0000, 0.0000], [0.5000, 0.0000, 0.5000], [0.0000, 0.5000, 0.5000], [0.5000, 0.5000, 0.0000]]}


{"formula": "Si2IrPb", "functional": "PBE", "state": "relaxed", "final_energy_ev_per_atom": -5.74, "crystal_system": "orthorhombic", "cell": [[2.1972, -2.2010, 0.0000], [2.1972, 2.2010, 0.0000], [0.0000, 0.0000, 7.5540]], "species": ["Si", "Si", "Ir", "Pb"], "fractional_positions": [[0.0000, 0.0000, 0.1868], [0.0000, 0.0000, 0.8132], [0.5000, 0.5000, 0.0000], [0.5000, 0.5000, 0.5000]]}


{"formula": "Si2IrPb", "functional": "PBE", "state": "relaxed", "final_energy_ev_per_atom": -5.75, "crystal_system": "tetragonal", "cell": [[3.1203, 0.0000, 0.0000], [0.0000, 3.1203, 0.0000], [0.0000, 0.0000, 7.7570]], "species": ["Si", "Si", "Ir", "Pb"], "fractional_positions": [[0.0000, 0.0000, 0.0000], [0.5000, 0.5000, 0.1883], [0.0000, 0.0000, 0.3345], [0.5000, 0.5000, 0.6354]]}


{"formula": "Si2IrPb", "functional": "PBE", "state": "relaxed", "final_energy_ev_per_atom": -5.40, "crystal_system": "orthorhombic", "cell": [[-1.5340, 2.5177, 4.7923], [1.5340, -2.5177, 4.7923], [1.5340, 2.5177, -4.7923]], "species": ["Si", "Si", "Ir", "Pb"], "fractional_positions": [[0.0000, 0.0000, 0.0000], [0.7701, 0.2701, 0.5000], [0.1908, 0.6908, 0.5000], [0.4721, 0.4721, 0.0000]]}


{"formula": "Si2IrPb", "functional": "PBE", "state": "relaxed", "final_energy_ev_per_atom": -5.52, "crystal_system": "orthorhombic", "cell": [[-1.4660, 2.8061, 4.8195], [1.4660, -2.8061, 4.8195], [1.4660, 2.8061, -4.8195]], "species": ["Si", "Si", "Ir", "Pb"], "fractional_positions": [[0.2033, 0.2033, 0.0000], [0.7967, 0.7967, 0.0000], [0.0000, 0.5000, 0.5000], [0.5000, 0.0000, 0.5000]]}


{"formula": "Si2IrPb", "functional": "PBE", "state": "relaxed", "final_energy_ev_per_atom": -5.90, "crystal_system": "trigonal", "cell": [[1.9944, 1.1515, 5.9255], [-1.9944, 1.1515, 5.9255], [0.0000, -2.3029, 5.9255]], "species": ["Si", "Si", "Ir", "Pb"], "fractional_positions": [[0.2112, 0.2112, 0.2112], [0.7888, 0.7888, 0.7888], [0.5000, 0.5000, 0.5000], [0.0000, 0.0000, 0.0000]]}


{"formula": "Si2IrPb", "functional": "PBE", "state": "relaxed", "final_energy_ev_per_atom": -5.78, "crystal_system": "monoclinic", "cell": [[4.4527, 0.0000, 0.0000], [0.0000, 4.1521, 0.0000], [-0.8751, 0.0000, 4.5208]], "species": ["Si", "Si", "Ir", "Pb"], "fractional_positions": [[0.0828, 0.0000, 0.2612], [0.9172, 0.0000, 0.7388], [0.0000, 0.5000, 0.5000], [0.5000, 0.5000, 0.0000]]}


{"formula": "Si2IrPb", "functional": "PBE", "state": "relaxed", "final_energy_ev_per_atom": -5.28, "crystal_system": "cubic", "cell": [[0.0000, 3.2997, 3.2997], [3.2997, 0.0000, 3.2997], [3.2997, 3.2997, 0.0000]], "species": ["Si", "Si", "Ir", "Pb"], "fractional_positions": [[0.0000, 0.0000, 0.0000], [0.2500, 0.2500, 0.2500], [0.7500, 0.7500, 0.7500], [0.5000, 0.5000, 0.5000]]}


{"formula": "Si2IrPb", "functional": "PBE", "state": "relaxed", "final_energy_ev_per_atom": -5.75, "crystal_system": "monoclinic", "cell": [[3.7293, 0.0000, 0.0000], [0.0000, 3.6431, 0.0000], [-1.3630, 0.0000, 5.8661]], "species": ["Si", "Si", "Ir", "Pb"], "fractional_positions": [[0.0000, 0.0000, 0.0000], [0.4643, 0.5000, 0.0018], [0.4171, 0.0000, 0.7377], [0.8213, 0.5000, 0.4693]]}


{"formula": "Si2IrPb", "functional": "PBE", "state": "relaxed", "final_energy_ev_per_atom": -5.22, "crystal_system": "orthorhombic", "cell": [[2.9685, -3.7764, 0.0000], [2.9685, 3.7764, 0.0000], [0.0000, 0.0000, 3.1865]], "species": ["Si", "Si", "Ir", "Pb"], "fractional_positions": [[0.0000, 0.5000, 0.0000], [0.5000, 0.0000, 0.0000], [0.0000, 0.0000, 0.5000], [0.5000, 0.5000, 0.5000]]}


{"formula": "Si2IrPb", "functional": "PBE", "state": "relaxed", "final_energy_ev_per_atom": -5.96, "crystal_system": "monoclinic", "cell": [[3.5027, -1.9928, 0.0000], [3.5027, 1.9928, 0.0000], [-2.3089, 0.0000, 6.0016]], "species": ["Si", "Si", "Ir", "Pb"], "fractional_positions": [[0.0000, 0.0000, 0.0000], [0.7443, 0.7443, 0.2496], [0.3616, 0.3616, 0.0939], [0.5353, 0.5353, 0.6093]]}


{"formula": "SrSi2IrPb", "functional": "PBE", "state": "relaxed", "de_polymorph_mev_per_atom": 518.8, "final_energy_ev_per_atom": -2.79, "crystal_system": "tetragonal", "cell": [[5.2552, 0.0000, 0.0000], [0.0000, 5.2552, 0.0000], [0.0000, 0.0000, 5.7807]], "species": ["Sr", "Si", "Si", "Ir", "Pb"], "fractional_positions": [[0.0000, 0.0000, 0.0000], [0.0000, 0.5000, 0.0000], [0.5000, 0.0000, 0.0000], [0.5000, 0.5000, 0.5000], [0.0000, 0.0000, 0.5000]]}


no.,raw formation energy (eV per atom)
1,0.2017
2,-1.1998
3,0.5532
4,0.5756
5,-0.0597
6,0.6605
7,0.5585
8,0.1509
9,0.6747
10,0.1109
11,0.1042
12,0.4519
13,0.3308
14,-0.0437
15,0.0709
16,0.5781
17,0.1052
18,0.6316
19,-0.1086
20,2.2311